DFT (GGA-PBE) results for RbPHS3 after structural relaxation.

```
RbPHS3
1.0
7.198 0.114 -0.829
3.474 6.306 -0.829
2.174 1.308 6.254
S Rb P H
6 2 2 2
direct
0.808 0.280 0.249
0.192 0.720 0.751
0.280 0.808 0.249
0.720 0.192 0.751
0.806 0.806 0.261
0.194 0.194 0.739
0.300 0.300 0.199
0.700 0.700 0.801
0.030 0.030 0.826
0.970 0.970 0.174
0.221 0.779 0.500
0.779 0.221 0.500
```

Values from the calculation:
The calculation puts the density of states at the Fermi level at 0.000 states/eV/atom. The calculation puts the total energy at -51.3 eV/cell.